# TbTlSe4 GGA-PBE optimized geometry
data_TbTlSe4
_symmetry_space_group_name_H-M 'P 4/n b m'
_symmetry_Int_Tables_number 125
_cell_length_a 6.276
_cell_length_b 6.276
_cell_length_c 8.403
_cell_angle_alpha 90.00
_cell_angle_beta 90.00
_cell_angle_gamma 90.00
loop_
_symmetry_equiv_pos_as_xyz
'x,y,z'
'-x,-y,-z'
'-y+1/2,x,z'
'y+1/2,-x,-z'
'-x+1/2,-y+1/2,z'
'x+1/2,y+1/2,-z'
'y,-x+1/2,z'
'-y,x+1/2,-z'
'x,-y+1/2,-z'
'-x,y+1/2,z'
'-y+1/2,-x+1/2,-z'
'y+1/2,x+1/2,z'
'-x+1/2,y,-z'
'x+1/2,-y,z'
'y,x,-z'
'-y,-x,z'
loop_
_atom_site_label
_atom_site_type_symbol
_atom_site_fract_x
_atom_site_fract_y
_atom_site_fract_z
Tb1 Tb 0.250 0.250 0.000
Tl1 Tl 0.250 0.250 0.500
Se1 Se 0.113 0.613 0.207
# Uncorrected energy: -4.401 eV per atom
# E_form (uncorrected): -528 kJ/mol of formula units